{
  "formula": "Tb8Sb2Pd3",
  "functional": "PBE",
  "state": "optimized geometry",
  "cell": [[-3.5702, 1.1630, -5.8605], [0.0971, -7.8053, -1.6081], [-5.4224, 2.6611, 6.5059]],
  "species": ["Tb", "Tb", "Tb", "Tb", "Tb", "Tb", "Tb", "Tb", "Sb", "Sb", "Pd", "Pd", "Pd"],
  "frac_coords": [[0.8550, 0.5920, 0.1840], [0.1450, 0.4080, 0.8160], [0.9091, 0.1000, 0.2000], [0.0909, 0.9000, 0.8000], [0.5969, 0.6408, 0.7850], [0.5969, 0.1442, 0.7850], [0.4031, 0.8558, 0.2150], [0.4031, 0.3592, 0.2150], [0.3322, 0.2511, 0.5022], [0.6678, 0.7489, 0.4978], [0.5000, 0.0000, 0.0000], [0.0000, 0.2606, 0.0000], [0.0000, 0.7394, 0.0000]],
  "crystal_system": "monoclinic",
  "energy_ev_per_atom": -5.236,
  "rho_g_cm3": 7.218,
  "e_form_raw_ev_per_atom": -0.554,
  "spacegroup": "C2/m, No. 12"
}